[1]
Dy8NiTe4S3: optimized geometry, PBE.

Unit cell a=8.1843 b=8.1843 c=20.9420 alpha=90.00 beta=90.00 gamma=120.00
Space group R-3m (No. 166, hexagonal axes)
One atom of each set of equivalent atoms:
Dy1 0.0000 0.0000 0.2357
Dy2 0.0118 0.5059 0.2360
Ni1 0.0000 0.0000 0.5000
Te1 0.0000 0.0000 0.0000
Te2 0.0000 0.5000 0.0000
S1 0.0000 0.5000 0.5000

Computed properties:
DOS at the Fermi energy: 0.41 states/eV per atom
M_tot: 0.00 μB per formula unit

***

[2]
Dy2UNiS5: optimized geometry, PBE.

Unit cell a=3.7323 b=16.4039 c=11.6901 alpha=90.00 beta=90.00 gamma=90.00
Space group Cmc2_1 (No. 36)
One atom of each set of equivalent atoms:
Dy1 0.0000 0.1061 0.0000
Dy2 0.0000 0.1153 0.3425
U1 0.0000 0.1745 0.6769
Ni1 0.0000 0.4482 0.0687
S1 0.0000 0.0146 0.6627
S2 0.0000 0.3031 0.3459
S3 0.0000 0.3193 0.0073
S4 0.0000 0.3419 0.6690
S5 0.0000 0.4952 0.3956

Computed properties:
DOS at the Fermi energy: 0.75 states/eV per atom
M_tot: 1.86 μB per formula unit

***

[3]
DyUNiS4: optimized geometry, PBE.

Unit cell a=6.2829 b=5.8557 c=7.5616 alpha=90.00 beta=106.51 gamma=90.00
Space group P2_1/m (No. 11)
One atom of each set of equivalent atoms:
Dy1 0.2482 0.2500 0.4400
U1 0.2611 0.2500 0.9435
Ni1 0.2600 0.7500 0.1719
S1 0.0636 0.7500 0.8869
S2 0.0654 0.7500 0.3792
S3 0.4833 0.5111 0.7485

Computed properties:
DOS at the Fermi energy: 0.79 states/eV per atom
M_tot: 1.45 μB per formula unit

***

Computed formation energy (no corrections), in the same sequence as the records: -1.462 -1.551 -1.340 eV per atom.